Record 1
# ZnRe3N | Alexandria via LeMat-Bulk | GGA-PBEsol | optimized geometry
# * crystal system: cubic
# * final energy: -48.428 eV per cell
data_ZnRe3N
_cell_length_a 4.021
_cell_length_b 4.021
_cell_length_c 4.021
_cell_angle_alpha 90.00
_cell_angle_beta 90.00
_cell_angle_gamma 90.00
_symmetry_space_group_name_H-M 'P m -3 m'
_symmetry_Int_Tables_number 221
_symmetry_space_group_name_Hall '-P 4 2 3'
loop_
_atom_site_label
_atom_site_fract_x
_atom_site_fract_y
_atom_site_fract_z
Zn1 0.000 0.000 0.000
Re1 0.000 0.500 0.500
N1 0.500 0.500 0.500

***

Record 2
# Rb2LiSbBr6 | Alexandria via LeMat-Bulk | GGA-PBEsol | optimized geometry
# * crystal system: cubic
# * final energy: -129.230 eV per cell
data_Rb2LiSbBr6
_cell_length_a 10.877
_cell_length_b 10.877
_cell_length_c 10.877
_cell_angle_alpha 90.00
_cell_angle_beta 90.00
_cell_angle_gamma 90.00
_symmetry_space_group_name_H-M 'F m -3 m'
_symmetry_Int_Tables_number 225
_symmetry_space_group_name_Hall '-F 4 2 3'
loop_
_atom_site_label
_atom_site_fract_x
_atom_site_fract_y
_atom_site_fract_z
Rb1 0.250 0.250 0.250
Li1 0.000 0.000 0.000
Sb1 0.000 0.000 0.500
Br1 0.000 0.000 0.245

***

Record 3
# La2CoRh | Alexandria via LeMat-Bulk | GGA-PBEsol | optimized geometry
# * ΔE_f: -1.359 eV/f.u.
# * crystal system: orthorhombic
# * final energy: -55.854 eV per cell
# * energy above the lowest structure with this stoichiometry: 0.000 eV per formula unit
data_La2CoRh
_cell_length_a 3.937
_cell_length_b 3.891
_cell_length_c 11.285
_cell_angle_alpha 90.00
_cell_angle_beta 90.00
_cell_angle_gamma 90.00
_symmetry_space_group_name_H-M 'A m m 2'
_symmetry_Int_Tables_number 38
_symmetry_space_group_name_Hall 'A 2 -2'
loop_
_atom_site_label
_atom_site_fract_x
_atom_site_fract_y
_atom_site_fract_z
La1 0.000 0.000 0.000
La2 0.500 0.000 0.278
Co1 0.500 0.000 0.556
Rh1 0.000 0.000 0.715

***

Record 4
# CdIrPt2 | Alexandria via LeMat-Bulk | GGA-PBEsol | optimized geometry
# * ΔE_f: 0.196 eV/f.u.
# * crystal system: tetragonal
# * final energy: -24.752 eV per cell
data_CdIrPt2
_cell_length_a 3.931
_cell_length_b 3.931
_cell_length_c 4.010
_cell_angle_alpha 90.00
_cell_angle_beta 90.00
_cell_angle_gamma 90.00
_symmetry_space_group_name_H-M 'P 4/m m m'
_symmetry_Int_Tables_number 123
_symmetry_space_group_name_Hall '-P 4 2'
loop_
_atom_site_label
_atom_site_fract_x
_atom_site_fract_y
_atom_site_fract_z
Cd1 0.000 0.000 0.000
Ir1 0.500 0.500 0.000
Pt1 0.000 0.500 0.500

***

Record 5
# AlCrIN2 | Alexandria via LeMat-Bulk | GGA-PBEsol | optimized geometry
# * crystal system: tetragonal
# * final energy: -28.794 eV per cell
data_AlCrIN2
_cell_length_a 3.764
_cell_length_b 3.764
_cell_length_c 5.983
_cell_angle_alpha 90.00
_cell_angle_beta 90.00
_cell_angle_gamma 90.00
_symmetry_space_group_name_H-M 'P 4/m m m'
_symmetry_Int_Tables_number 123
_symmetry_space_group_name_Hall '-P 4 2'
loop_
_atom_site_label
_atom_site_fract_x
_atom_site_fract_y
_atom_site_fract_z
Al1 0.000 0.000 0.000
Cr1 0.500 0.500 0.500
I1 0.000 0.000 0.500
N1 0.000 0.500 0.000

***

Record 6
# MnZnCo2 | Alexandria via LeMat-Bulk | GGA-PBEsol | optimized geometry
# * ΔE_f: 0.457 eV/f.u.
# * crystal system: orthorhombic
# * final energy: -52.720 eV per cell
data_MnZnCo2
_cell_length_a 2.780
_cell_length_b 4.052
_cell_length_c 7.963
_cell_angle_alpha 90.00
_cell_angle_beta 90.00
_cell_angle_gamma 90.00
_symmetry_space_group_name_H-M 'C m m m'
_symmetry_Int_Tables_number 65
_symmetry_space_group_name_Hall '-C 2 2'
loop_
_atom_site_label
_atom_site_fract_x
_atom_site_fract_y
_atom_site_fract_z
Mn1 0.000 0.000 0.000
Zn1 0.000 0.000 0.500
Co1 0.000 0.500 0.240

***

Record 7
# CsSrP2O | Alexandria via LeMat-Bulk | GGA-PBEsol | optimized geometry
# * crystal system: tetragonal
# * final energy: -16.698 eV per cell
data_CsSrP2O
_cell_length_a 5.357
_cell_length_b 5.357
_cell_length_c 4.414
_cell_angle_alpha 90.00
_cell_angle_beta 90.00
_cell_angle_gamma 90.00
_symmetry_space_group_name_H-M 'P 4/m m m'
_symmetry_Int_Tables_number 123
_symmetry_space_group_name_Hall '-P 4 2'
loop_
_atom_site_label
_atom_site_fract_x
_atom_site_fract_y
_atom_site_fract_z
Cs1 0.000 0.000 0.000
Sr1 0.500 0.500 0.500
P1 0.000 0.500 0.000
O1 0.000 0.000 0.500

***

Record 8
# TaPF2 | Alexandria via LeMat-Bulk | GGA-PBEsol | optimized geometry
# * crystal system: cubic
# * final energy: -99.270 eV per cell
data_TaPF2
_cell_length_a 5.726
_cell_length_b 5.726
_cell_length_c 5.726
_cell_angle_alpha 90.00
_cell_angle_beta 90.00
_cell_angle_gamma 90.00
_symmetry_space_group_name_H-M 'F m -3 m'
_symmetry_Int_Tables_number 225
_symmetry_space_group_name_Hall '-F 4 2 3'
loop_
_atom_site_label
_atom_site_fract_x
_atom_site_fract_y
_atom_site_fract_z
Ta1 0.000 0.000 0.000
P1 0.000 0.000 0.500
F1 0.250 0.250 0.250